A plane-wave DFT calculation with PBE was carried out for crystalline Ba2AcPb at its relaxed geometry.

## Properties
raw total energy = -12.5 eV per cell
Fermi-level density of states = 1.07 states/eV/atom
energy of formation = -0.875 eV/f.u.
energy above the most stable polymorph in this dataset = 0 meV/atom

Cell: 5.810 5.392 5.392 Å, 90.00 90.00 90.00°
Positions (direct):
Pb  0.500  0.000  0.000
Ac  0.500  0.500  0.500
Ba  0.000  0.000  0.500
Ba  0.000  0.500  0.000